Ba3Bi6PbSe13, optimized geometry, DFT PBE; formation energy without anion corrections = -0.87 eV per atom
1.0
17.588 0.000 0.000
0.000 4.323 0.000
-0.203 0.000 18.930
Ba Bi Pb Se
6 12 2 26
direct
0.017 0.250 0.342
0.233 0.250 0.177
0.247 0.750 0.734
0.753 0.250 0.266
0.767 0.750 0.823
0.983 0.750 0.658
0.010 0.750 0.115
0.173 0.250 0.524
0.190 0.750 0.956
0.329 0.750 0.382
0.397 0.250 0.980
0.419 0.250 0.577
0.581 0.750 0.423
0.603 0.750 0.020
0.671 0.250 0.618
0.810 0.250 0.044
0.827 0.750 0.476
0.990 0.250 0.885
0.487 0.250 0.248
0.513 0.750 0.752
0.074 0.750 0.487
0.079 0.750 0.830
0.103 0.750 0.232
0.105 0.250 0.033
0.126 0.250 0.664
0.225 0.250 0.365
0.267 0.250 0.877
0.304 0.750 0.554
0.310 0.750 0.058
0.362 0.750 0.240
0.392 0.250 0.720
0.461 0.250 0.411
0.480 0.750 0.911
0.520 0.250 0.089
0.539 0.750 0.589
0.608 0.750 0.280
0.638 0.250 0.760
0.690 0.250 0.942
0.696 0.250 0.446
0.733 0.750 0.123
0.775 0.750 0.635
0.874 0.750 0.336
0.895 0.750 0.967
0.897 0.250 0.768
0.921 0.250 0.170
0.926 0.250 0.513

***

BaSn2BiPb, optimized geometry, DFT PBE; formation enthalpy at 0 K = 500 meV per atom
1.0
6.730 0.000 0.000
0.000 6.730 0.000
0.000 0.000 6.660
Ba Sn Bi Pb
1 2 1 1
direct
0.000 0.000 0.000
0.000 0.500 0.500
0.500 0.000 0.500
0.500 0.500 0.500
0.500 0.500 0.000

***

BaSnBiPb, optimized geometry, DFT PBE; formation enthalpy at 0 K = -315 meV per atom
1.0
13.182 0.000 0.000
0.000 4.603 0.000
-0.760 0.000 5.058
Ba Sn Bi Pb
2 2 2 2
direct
0.000 0.000 0.000
0.500 0.500 0.000
0.396 0.000 0.463
0.896 0.500 0.463
0.129 0.500 0.527
0.629 0.000 0.527
0.254 0.000 0.887
0.754 0.500 0.887

***

Ba2BiTe5Pb, optimized geometry, DFT PBE; formation energy without anion corrections = -0.89 eV per atom
1.0
2.371 -10.344 0.000
2.371 10.344 0.000
0.000 0.000 14.283
Ba Bi Te Pb
4 2 10 2
direct
0.112 0.888 0.500
0.132 0.868 0.129
0.868 0.132 0.629
0.888 0.112 0.000
0.216 0.784 0.838
0.784 0.216 0.338
0.052 0.948 0.897
0.280 0.720 0.484
0.308 0.692 0.180
0.360 0.640 0.816
0.492 0.508 0.578
0.508 0.492 0.078
0.640 0.360 0.316
0.692 0.308 0.680
0.720 0.280 0.984
0.948 0.052 0.397
0.444 0.556 0.266
0.556 0.444 0.766